[1]
4
Lattice="3.6449 0.0000 0.0000 0.0000 3.6449 0.0000 0.0000 0.0000 7.9392" Properties=species:S:1:pos:R:3 comment="LiCa2Zn, relaxed, DFT PBEsol" e_tot_ev_per_atom=-2.0258 n_ef_per_ev_fu=2.924 pbc="T T T"
Li 0.0000 0.0000 0.0000
Ca 0.0000 0.0000 2.9664
Ca 1.8224 1.8224 5.8741
Zn 1.8224 1.8224 1.1506



[2]
8
Lattice="-4.3058 4.3058 3.1840 4.3058 -4.3058 3.1840 4.3058 4.3058 -3.1840" Properties=species:S:1:pos:R:3 comment="BaSrSi2, relaxed, DFT PBEsol" raw_formation_energy_ev_per_atom=0.241 n_ef_per_ev_fu=3.803 pbc="T T T"
Ba 0.0000 0.0000 0.0000
Ba 0.0000 4.3058 1.5920
Sr 4.3058 0.0000 1.5920
Sr 0.0000 0.0000 3.1840
Si 2.1529 2.2647 -0.7960
Si 6.3469 2.1529 0.7960
Si 2.1529 2.0411 2.3880
Si -2.0411 2.1529 3.9800



[3]
42
Lattice="7.2573 0.0000 0.0000 -0.0676 9.6912 0.0000 -0.0156 -4.8251 8.4469" Properties=species:S:1:pos:R:3 comment="CdP6Pb9O26, relaxed, DFT PBEsol" raw_formation_energy_ev_per_atom=-1.787 pbc="T T T"
Cd 0.0000 0.0000 0.0000
P 1.8600 -1.0715 2.5423
P 1.8609 3.2408 6.2357
P 1.9495 -2.0019 8.0860
P 5.6480 -2.8238 6.0915
P 5.7038 1.2132 2.9551
P 5.6728 1.7167 7.8917
Pb 0.2298 0.1304 5.5372
Pb 1.9319 6.0618 4.7507
Pb 2.0481 2.7102 2.8751
Pb 2.0561 5.9190 0.9150
Pb 3.5054 4.8708 8.4192
Pb 3.7903 0.0425 5.5712
Pb 5.5634 7.1086 2.7488
Pb 5.6088 3.7451 4.7338
Pb 5.7828 3.6958 0.6485
O 0.7263 7.4923 2.4288
O 0.7855 3.9302 5.3563
O 0.8517 3.2219 0.6748
O 1.4826 0.1586 1.6791
O 1.4902 3.3399 7.7404
O 1.6373 -3.4112 7.5159
O 2.0221 -0.6384 4.0276
O 2.0195 -0.9446 6.9629
O 2.0177 1.7526 5.8014
O 2.4249 4.9074 2.8894
O 3.1294 8.0223 2.0069
O 3.2003 4.0076 6.0318
O 3.3027 2.7500 0.4458
O 4.3075 -2.6348 5.3615
O 4.4046 1.8566 3.5208
O 4.4356 0.8377 8.2782
O 5.6175 5.6139 6.9859
O 5.6836 1.9279 6.3577
O 5.6805 7.8918 0.2166
O 5.7488 -0.2726 3.3572
O 5.7802 1.3869 1.3921
O 5.7690 4.5220 2.4769
O 5.8508 -1.5237 7.0049
O 6.7774 -2.7833 5.0465
O 6.8867 1.9428 3.6532
O 6.8934 0.8225 8.2780



[4]
4
Lattice="2.3823 1.3754 3.4945 -2.3823 1.3754 3.4945 0.0000 -2.7509 3.4945" Properties=species:S:1:pos:R:3 comment="MgNCl2, relaxed, DFT PBEsol" raw_formation_energy_ev_per_atom=0.214 pbc="T T T"
Mg 0.0000 0.0000 0.0000
N 0.0000 0.0000 5.2418
Cl 0.0000 0.0000 2.5580
Cl 0.0000 0.0000 7.9257



[5]
8
Lattice="5.6825 0.0000 0.0000 -2.8412 4.9212 0.0000 0.0000 0.0000 5.0140" Properties=species:S:1:pos:R:3 comment="PaPt3, relaxed, DFT PBEsol" e_tot_ev_per_atom=-8.7959 n_ef_per_ev_fu=1.826 pbc="T T T"
Pa 0.0000 3.2808 1.2535
Pa 2.8412 1.6404 3.7605
Pt 0.0000 1.6257 3.7605
Pt -1.4333 4.1083 3.7605
Pt 1.4079 0.8129 1.2535
Pt 1.4333 4.1083 3.7605
Pt 4.2746 0.8129 1.2535
Pt 2.8412 3.2954 1.2535



[6]
5
Lattice="4.9316 0.0000 0.0000 0.0000 4.9316 0.0000 0.0000 0.0000 4.2306" Properties=species:S:1:pos:R:3 comment="SiNiAu2Se, relaxed, DFT PBEsol" raw_formation_energy_ev_per_atom=0.804 n_ef_per_ev_fu=2.952 pbc="T T T"
Si 0.0000 0.0000 0.0000
Ni 2.4658 2.4658 0.0000
Au 0.0000 2.4658 2.1153
Au 2.4658 0.0000 2.1153
Se 2.4658 2.4658 2.1153



[7]
42
Lattice="8.2665 0.0000 0.0000 -4.0880 7.2430 0.0000 -4.1035 -2.4556 7.8496" Properties=species:S:1:pos:R:3 comment="Li4MnVP3O12, relaxed, DFT PBEsol" raw_formation_energy_ev_per_atom=-2.229 n_ef_per_ev_fu=7.565 pbc="T T T"
Li -1.0356 1.4087 0.7452
Li -3.6450 0.9773 6.6897
Li -0.9655 0.7406 3.2103
Li -0.6615 5.6717 1.0484
Li 0.7365 -0.8843 6.8012
Li 1.0405 4.0468 4.6393
Li 3.7200 3.8102 1.1599
Li 1.1106 3.3788 7.1044
Mn -2.0556 3.6303 3.4499
Mn 2.1306 1.1572 4.3996
V -1.9743 -1.2315 7.6091
V 2.0493 6.0189 0.2405
P -3.3471 6.3707 1.9462
P -4.4727 3.6741 5.9152
P 0.8529 3.3678 1.8669
P -0.7779 1.4196 5.9827
P 4.5477 1.1134 1.9344
P 3.4221 -1.5833 5.9033
O -4.7542 6.7999 1.3974
O -2.3444 1.8145 2.1101
O -3.2469 4.8465 2.0427
O -3.6890 3.7616 4.6366
O -2.2568 6.7803 0.8737
O 0.7341 2.2117 0.7961
O -4.7415 5.0975 6.4978
O -3.6890 2.8772 7.0353
O -1.8389 0.4011 6.4941
O -0.5321 4.0217 1.9320
O 0.8820 -0.1105 3.2560
O -1.2218 1.9655 4.6322
O 1.2968 2.8219 3.2174
O -0.8070 4.8979 4.5936
O 0.6071 0.7657 5.9176
O 1.9139 4.3863 1.3555
O 3.7640 1.9102 0.8143
O 4.8165 -0.3101 1.3518
O -0.6591 2.5757 7.0535
O 2.3318 -1.9929 6.9759
O 3.7640 1.0258 3.2130
O 3.3219 -0.0590 5.8068
O 2.4194 2.9729 5.7395
O 4.8292 -2.0124 6.4521



[8]
5
Lattice="4.3008 0.0000 0.0000 0.0000 4.3008 0.0000 0.0000 0.0000 4.3008" Properties=species:S:1:pos:R:3 comment="ZrCuB3, relaxed, DFT PBEsol" e_tot_ev_per_atom=-4.8263 n_ef_per_ev_fu=1.566 pbc="T T T"
Zr 0.0000 0.0000 0.0000
Cu 2.1504 2.1504 2.1504
B 0.0000 0.0000 2.1504
B 0.0000 2.1504 0.0000
B 2.1504 0.0000 0.0000